No. 1
DFT (PBE) results for crystalline Ti4CrS8 at its relaxed geometry.

abc: 6.8196 6.8196 17.7113
angles: 90.00 90.00 120.00
Space group R-3m (No. 166, hexagonal axes)
Inequivalent atoms, fractional coordinates:
Ti: 0.0000 0.0000 0.0000
Ti: 0.0000 0.5000 0.0000
Cr: 0.0000 0.0000 0.5000
S: 0.0000 0.0000 0.2537
S: 0.0012 0.5006 0.2504

- Uncorrected energy: -269.605 eV/cell
- Raw formation energy: -1.204 eV per atom
- DOS at the Fermi energy: 0.65 states/eV/atom
- Total magnetic moment: 2.96 μB/f.u.
- Density: 3.49 g/cm3



No. 2
DFT (PBE) results for crystalline Ti3CrS6 at its relaxed geometry.

abc: 5.9936 5.9936 16.9327
angles: 90.00 90.00 120.00
Space group R3 (No. 146, hexagonal axes)
Inequivalent atoms, fractional coordinates:
Ti: 0.0000 0.0000 0.0000
Ti: 0.0000 0.0000 0.1710
Ti: 0.0000 0.0000 0.4988
Cr: 0.0000 0.0000 0.6712
S: 0.9999 0.6754 0.5861
S: 0.0044 0.3344 0.7509

- Uncorrected energy: -209.669 eV/cell
- Raw formation energy: -1.182 eV per atom
- DOS at the Fermi energy: 0.67 states/eV/atom
- Total magnetic moment: 2.99 μB/f.u.
- Density: 3.67 g/cm3